# 1
This record from the Alexandria database describes a geometry-optimized CoNi2O4 structure. The functional is PBE+U.

M_tot in μB/cell: 10.0
Volume in Å³ per atom: 10.19
Electronic total energy in eV per cell: -72.4
Crystal system: cubic
Density of states at the Fermi level in states/eV/cell: 8.14

Cell: 5.865 5.865 5.865 Å, 60.00 60.00 60.00°
Atoms (fractional coordinates):
Co1 0.125 0.125 0.125
Co2 0.875 0.875 0.875
Ni1 0.000 0.500 0.500
Ni2 0.500 0.000 0.500
Ni3 0.500 0.500 0.000
Ni4 0.500 0.500 0.500
O1 0.259 0.259 0.259
O2 0.259 0.259 0.724
O3 0.259 0.724 0.259
O4 0.276 0.741 0.741
O5 0.724 0.259 0.259
O6 0.741 0.276 0.741
O7 0.741 0.741 0.276
O8 0.741 0.741 0.741

***

# 2
This record from the Alexandria database describes a geometry-optimized CoNiO3 structure. The functional is PBE+U.

M_tot in μB/cell: 6.0
Volume in Å³ per atom: 9.46
Electronic total energy in eV per cell: -53.7
Crystal system: trigonal
Density of states at the Fermi level in states/eV/cell: 0.00

Cell: 5.336 5.336 5.336 Å, 54.89 54.89 54.89°
Atoms (fractional coordinates):
Co1 0.158 0.158 0.158
Co2 0.842 0.842 0.842
Ni1 0.356 0.356 0.356
Ni2 0.644 0.644 0.644
O1 0.054 0.773 0.441
O2 0.227 0.559 0.946
O3 0.441 0.054 0.773
O4 0.559 0.946 0.227
O5 0.773 0.441 0.054
O6 0.946 0.227 0.559

***

# 3
This record from the Alexandria database describes a geometry-optimized Co3NiO structure. The functional is PBE+U.

M_tot in μB/cell: 7.0
Volume in Å³ per atom: 11.30
Electronic total energy in eV per cell: -19.8
Crystal system: cubic
Density of states at the Fermi level in states/eV/cell: 4.23

Cell: 3.837 3.837 3.837 Å, 90.00 90.00 90.00°
Atoms (fractional coordinates):
Co1 0.000 0.000 0.500
Co2 0.000 0.500 0.000
Co3 0.500 0.000 0.000
Ni1 0.500 0.500 0.500
O1 0.000 0.000 0.000

***

# 4
This record from the Alexandria database describes a geometry-optimized CoNiO3 structure. The functional is PBE+U.

M_tot in μB/cell: 6.0
Volume in Å³ per atom: 10.01
Electronic total energy in eV per cell: -53.1
Crystal system: monoclinic

Cell: 5.035 5.035 4.881 Å, 97.39 97.39 122.88°
Atoms (fractional coordinates):
Co1 0.157 0.843 0.000
Co2 0.843 0.157 0.000
Ni1 0.351 0.649 0.500
Ni2 0.649 0.351 0.500
O1 0.050 0.447 0.767
O2 0.216 0.216 0.224
O3 0.447 0.050 0.767
O4 0.553 0.950 0.233
O5 0.784 0.784 0.776
O6 0.950 0.553 0.233

***

# 5
This record from the Alexandria database describes a geometry-optimized CoNiO2 structure. The functional is PBE+U.

M_tot in μB/cell: 5.0
Volume in Å³ per atom: 9.62
Electronic total energy in eV per cell: -20.9
Crystal system: tetragonal
Density of states at the Fermi level in states/eV/cell: 3.34

Cell: 3.028 3.028 4.198 Å, 90.00 90.00 90.00°
Atoms (fractional coordinates):
Co1 0.000 0.000 0.000
Ni1 0.500 0.500 0.500
O1 0.000 0.000 0.500
O2 0.500 0.500 0.000

***

# 6
This record from the Alexandria database describes a geometry-optimized CoNiO3 structure. The functional is PBE+U.

M_tot in μB/cell: 12.0
Volume in Å³ per atom: 10.07
Electronic total energy in eV per cell: -105.6
Crystal system: monoclinic

Cell: 6.364 6.364 5.036 Å, 90.00 90.00 80.97°
Atoms (fractional coordinates):
Co1 0.090 0.910 0.750
Co2 0.266 0.734 0.250
Co3 0.734 0.266 0.750
Co4 0.910 0.090 0.250
Ni1 0.186 0.401 0.772
Ni2 0.401 0.186 0.272
Ni3 0.599 0.814 0.728
Ni4 0.814 0.599 0.228
O1 0.017 0.182 0.915
O2 0.140 0.660 0.570
O3 0.182 0.017 0.415
O4 0.267 0.467 0.130
O5 0.340 0.860 0.930
O6 0.467 0.267 0.630
O7 0.533 0.733 0.370
O8 0.660 0.140 0.070
O9 0.733 0.533 0.870
O10 0.818 0.983 0.585
O11 0.860 0.340 0.430
O12 0.983 0.818 0.085

***

Q: Which formula does entry 3 have?
A: Co3NiO